No. 1
{
  "formula": "HgPdSeO",
  "functional": "PBE",
  "state": "relaxed",
  "lattice": [[6.889, 0.000, 0.000], [0.000, 7.592, 0.000], [0.000, 0.000, 5.840]],
  "species": ["Hg", "O", "Se", "Hg", "Pd", "Se", "Pd", "Se", "O", "Hg", "O", "Pd", "Se", "O", "Hg", "Pd"],
  "fractional_positions": [[0.147, 0.662, 0.597], [0.450, 0.099, 0.632], [0.458, 0.319, 0.137], [0.647, 0.338, 0.597], [0.746, 0.887, 0.385], [0.042, 0.319, 0.637], [0.254, 0.113, 0.885], [0.958, 0.681, 0.137], [0.550, 0.901, 0.132], [0.853, 0.338, 0.097], [0.950, 0.901, 0.632], [0.246, 0.113, 0.385], [0.542, 0.681, 0.637], [0.050, 0.099, 0.132], [0.353, 0.662, 0.097], [0.754, 0.887, 0.885]],
  "final_energy_ev_per_atom": -3.58
}



No. 2
{
  "formula": "TlHg3PdO4",
  "functional": "PBE",
  "state": "relaxed",
  "lattice": [[-0.328, -4.276, -3.403], [3.456, -2.803, 3.189], [-4.233, -1.957, 2.867]],
  "species": ["Hg", "O", "Hg", "Pd", "O", "O", "Hg", "O", "Tl"],
  "fractional_positions": [[0.000, 0.500, 0.500], [0.766, 0.234, 0.766], [0.500, 0.500, 0.000], [0.500, 0.500, 0.500], [0.234, 0.766, 0.766], [0.234, 0.234, 0.234], [0.500, 0.000, 0.500], [0.766, 0.766, 0.234], [0.000, 0.000, 0.000]],
  "final_energy_ev_per_atom": -3.21
}



No. 3
{
  "formula": "Pm2HgO4",
  "functional": "PBE",
  "state": "relaxed",
  "lattice": [[4.943, -4.943, 0.000], [-4.943, 0.000, -4.943], [4.943, 4.943, 0.000]],
  "species": ["Pm", "Hg", "Pm", "Pm", "O", "O", "Hg", "O", "O", "O", "O", "O", "O", "Pm"],
  "fractional_positions": [[0.375, 0.250, 0.625], [0.000, 0.000, 0.000], [0.375, 0.750, 0.625], [0.375, 0.750, 0.125], [0.613, 0.775, 0.388], [0.162, 0.775, 0.387], [0.750, 0.500, 0.250], [0.138, 0.275, 0.863], [0.612, 0.225, 0.387], [0.137, 0.725, 0.862], [0.613, 0.225, 0.838], [0.588, 0.725, 0.863], [0.137, 0.275, 0.412], [0.875, 0.250, 0.625]],
  "magnetic_moment_mub_per_cell": 0.00,
  "final_energy_ev_per_atom": -6.62
}



No. 4
{
  "formula": "Pm2Hg2O5",
  "functional": "PBE",
  "state": "relaxed",
  "lattice": [[7.226, 0.000, 0.000], [0.000, 4.311, 0.000], [0.000, 0.000, 4.311]],
  "species": ["O", "O", "O", "Hg", "Hg", "Pm", "O", "Pm", "O"],
  "fractional_positions": [[0.785, 0.500, 0.000], [0.215, 0.000, 0.500], [0.500, 0.500, 0.500], [0.806, 0.500, 0.500], [0.194, 0.500, 0.500], [0.500, 0.000, 0.000], [0.785, 0.000, 0.500], [0.000, 0.000, 0.000], [0.215, 0.500, 0.000]],
  "magnetic_moment_mub_per_cell": 0.00,
  "final_energy_ev_per_atom": -5.18
}



No. 5
{
  "formula": "Pm2Hg2O5",
  "functional": "PBE",
  "state": "relaxed",
  "lattice": [[-0.562, -8.046, 4.207], [4.097, 0.081, 0.702], [-0.659, 1.938, 3.618]],
  "species": ["Hg", "Pm", "O", "Pm", "O", "Hg", "O", "O", "O"],
  "fractional_positions": [[0.500, 0.000, 0.000], [0.749, 0.500, 0.500], [0.846, 0.500, 0.000], [0.251, 0.500, 0.500], [0.154, 0.500, 0.000], [0.000, 0.000, 0.000], [0.500, 0.500, 0.500], [0.846, 0.000, 0.500], [0.154, 0.000, 0.500]],
  "magnetic_moment_mub_per_cell": 1.18,
  "final_energy_ev_per_atom": -5.48
}



No. 6
{
  "formula": "PmHgSO",
  "functional": "PBE",
  "state": "relaxed",
  "lattice": [[8.534, 0.000, 1.031], [0.000, 6.067, 0.000], [0.337, 0.000, 5.987]],
  "species": ["Hg", "Pm", "Hg", "S", "O", "Hg", "O", "S", "Pm", "S", "S", "Pm", "O", "O", "Pm", "Hg"],
  "fractional_positions": [[0.988, 0.282, 0.007], [0.618, 0.506, 0.222], [0.012, 0.782, 0.493], [0.778, 0.987, 0.134], [0.505, 0.246, 0.499], [0.988, 0.218, 0.507], [0.495, 0.746, 0.001], [0.222, 0.487, 0.366], [0.382, 0.006, 0.278], [0.222, 0.013, 0.866], [0.778, 0.513, 0.634], [0.382, 0.494, 0.778], [0.505, 0.254, 0.999], [0.495, 0.754, 0.501], [0.618, 0.994, 0.722], [0.012, 0.718, 0.993]],
  "magnetic_moment_mub_per_cell": 0.00,
  "final_energy_ev_per_atom": -5.30
}



No. 7
{
  "formula": "PmHgSO",
  "functional": "PBE",
  "state": "relaxed",
  "lattice": [[4.014, 0.000, 0.000], [0.000, 4.014, 0.000], [0.000, 0.000, 9.992]],
  "species": ["Pm", "O", "Pm", "S", "S", "O", "Hg", "Hg"],
  "fractional_positions": [[0.250, 0.250, 0.117], [0.250, 0.750, 0.000], [0.750, 0.750, 0.883], [0.250, 0.250, 0.734], [0.750, 0.750, 0.266], [0.750, 0.250, 0.000], [0.750, 0.250, 0.500], [0.250, 0.750, 0.500]],
  "magnetic_moment_mub_per_cell": 0.74,
  "final_energy_ev_per_atom": -5.24
}



No. 8
{
  "formula": "PmHgSO",
  "functional": "PBE",
  "state": "relaxed",
  "lattice": [[4.863, 0.000, 0.000], [0.000, 8.833, 0.000], [0.000, 0.000, 5.102]],
  "species": ["O", "Pm", "S", "O", "Pm", "Hg", "S", "Hg"],
  "fractional_positions": [[0.500, 0.095, 0.152], [0.500, 0.146, 0.579], [0.000, 0.305, 0.631], [0.500, 0.905, 0.652], [0.500, 0.854, 0.079], [0.000, 0.312, 0.129], [0.000, 0.695, 0.131], [0.000, 0.688, 0.629]],
  "magnetic_moment_mub_per_cell": 0.00,
  "final_energy_ev_per_atom": -5.11
}



No. 9
{
  "formula": "PmHgSO",
  "functional": "PBE",
  "state": "relaxed",
  "lattice": [[-3.377, -7.156, -0.069], [0.757, -0.442, 8.798], [-4.934, 2.323, 0.542]],
  "species": ["Pm", "Hg", "S", "O", "O", "O", "S", "Hg", "S", "Hg", "Pm", "Pm", "Pm", "Hg", "O", "S"],
  "fractional_positions": [[0.943, 0.324, 0.062], [0.163, 0.110, 0.497], [0.902, 0.384, 0.565], [0.012, 0.908, 0.625], [0.988, 0.092, 0.125], [0.512, 0.092, 0.625], [0.098, 0.616, 0.065], [0.663, 0.890, 0.497], [0.598, 0.384, 0.065], [0.337, 0.110, 0.997], [0.057, 0.676, 0.562], [0.557, 0.324, 0.562], [0.443, 0.676, 0.062], [0.837, 0.890, 0.997], [0.488, 0.908, 0.125], [0.402, 0.616, 0.565]],
  "magnetic_moment_mub_per_cell": 0.00,
  "final_energy_ev_per_atom": -4.87
}



No. 10
{
  "formula": "PmHgTeO",
  "functional": "PBE",
  "state": "relaxed",
  "lattice": [[4.200, 0.000, 0.000], [0.000, 4.200, 0.000], [0.000, 0.000, 10.627]],
  "species": ["Hg", "O", "Hg", "O", "Pm", "Te", "Te", "Pm"],
  "fractional_positions": [[0.250, 0.750, 0.500], [0.250, 0.750, 0.000], [0.750, 0.250, 0.500], [0.750, 0.250, 0.000], [0.750, 0.750, 0.899], [0.250, 0.250, 0.734], [0.750, 0.750, 0.266], [0.250, 0.250, 0.101]],
  "magnetic_moment_mub_per_cell": 0.00,
  "final_energy_ev_per_atom": -4.92
}



No. 11
{
  "formula": "PmHgTeO",
  "functional": "PBE",
  "state": "relaxed",
  "lattice": [[9.520, 0.000, 0.417], [0.000, 6.156, 0.000], [-0.520, 0.000, 6.211]],
  "species": ["Pm", "Te", "O", "Te", "Hg", "O", "O", "Pm", "Pm", "Hg", "Pm", "Hg", "Hg", "Te", "Te", "O"],
  "fractional_positions": [[0.597, 0.516, 0.259], [0.162, 0.370, 0.362], [0.514, 0.254, 0.004], [0.838, 0.870, 0.138], [0.869, 0.339, 0.026], [0.486, 0.754, 0.496], [0.486, 0.746, 0.996], [0.597, 0.984, 0.759], [0.403, 0.484, 0.741], [0.131, 0.661, 0.974], [0.403, 0.016, 0.241], [0.131, 0.839, 0.474], [0.869, 0.161, 0.526], [0.162, 0.130, 0.862], [0.838, 0.630, 0.638], [0.514, 0.246, 0.504]],
  "magnetic_moment_mub_per_cell": 0.00,
  "final_energy_ev_per_atom": -4.89
}



No. 12
{
  "formula": "PmHgTeO",
  "functional": "PBE",
  "state": "relaxed",
  "lattice": [[5.162, 0.000, 0.000], [0.000, 9.225, 0.000], [0.000, 0.000, 5.824]],
  "species": ["O", "Pm", "Te", "Hg", "Pm", "Te", "O", "Hg"],
  "fractional_positions": [[0.500, 0.922, 0.668], [0.500, 0.867, 0.023], [0.000, 0.312, 0.652], [0.000, 0.692, 0.647], [0.500, 0.133, 0.523], [0.000, 0.688, 0.152], [0.500, 0.078, 0.168], [0.000, 0.308, 0.147]],
  "magnetic_moment_mub_per_cell": 0.00,
  "final_energy_ev_per_atom": -4.74
}